Density functional theory data (PBE) for ZrTlAu after structural relaxation.

Lattice parameters (Å, degrees): 10.7541 4.6419 3.1915 90.00 63.57 80.94
Element x y z (fractional)
1 Tl 0.1031 0.3987 0.8230
2 Au 0.6070 0.9243 0.5676
3 Au 0.7850 0.3592 0.3006
4 Tl 0.2891 0.8850 0.0441
5 Zr 0.8721 0.8321 0.6699
6 Zr 0.5200 0.4514 0.1981

Properties
* VASP energy: -4.90 eV per atom
* space group: C2/m

---

Density functional theory data (PBE) for ZrTlAu after structural relaxation.

Lattice parameters (Å, degrees): 6.7701 3.2725 6.2904 89.95 82.74 76.03
Element x y z (fractional)
1 Tl 0.0733 0.1116 0.7970
2 Au 0.4380 0.4290 0.8669
3 Zr 0.7234 0.7862 0.5825
4 Tl 0.3736 0.4608 0.3680
5 Zr 0.7234 0.7862 0.0825
6 Au 0.0089 0.1434 0.2981

Properties
* VASP energy: -4.90 eV per atom
* space group: C2/m

---

Density functional theory data (PBE) for ZrTlAu after structural relaxation.

Lattice parameters (Å, degrees): 4.9950 4.9950 5.9894 90.00 90.00 120.00
Element x y z (fractional)
1 Zr 0.3333 0.6667 0.7500
2 Zr 0.6667 0.3333 0.2500
3 Tl 0.3333 0.6667 0.2500
4 Au 0.0000 0.0000 0.0000
5 Tl 0.6667 0.3333 0.7500
6 Au 0.0000 0.0000 0.5000

Properties
* VASP energy: -4.75 eV per atom
* space group: P6_3/mmc

---

Density functional theory data (PBE) for Zr7Tl2Au2 after structural relaxation.

Lattice parameters (Å, degrees): 6.4417 6.8213 6.4417 90.01 104.26 89.99
Element x y z (fractional)
1 Zr 0.0000 0.2747 0.4999
2 Zr 0.4999 0.7253 0.0000
3 Au 0.7202 0.9999 0.2798
4 Tl 0.8221 0.5000 0.8221
5 Au 0.2798 0.0001 0.7202
6 Zr 0.5001 0.2747 0.0000
7 Zr 0.0000 0.0000 0.0000
8 Zr 0.5000 0.7392 0.5000
9 Zr 0.5000 0.2608 0.5000
10 Zr 0.0000 0.7253 0.5001
11 Tl 0.1779 0.5000 0.1779

Properties
* VASP energy: -6.27 eV per atom
* space group: Cmmm

---

Density functional theory data (PBE) for ZrTlAu after structural relaxation.

Lattice parameters (Å, degrees): 8.4885 6.2354 4.8990 90.00 90.00 90.00
Element x y z (fractional)
1 Zr 0.3334 0.2500 0.9999
2 Au 0.3333 0.7500 0.9999
3 Au 0.6667 0.2500 0.0001
4 Tl 0.0000 0.5000 0.0000
5 Zr 0.1666 0.7500 0.4999
6 Tl 0.5000 0.0000 0.5000
7 Zr 0.6666 0.7500 0.0001
8 Au 0.1667 0.2500 0.4999
9 Tl 0.5000 0.5000 0.5000
10 Au 0.8333 0.7500 0.5001
11 Tl 0.0000 0.0000 0.0000
12 Zr 0.8334 0.2500 0.5001

Properties
* VASP energy: -4.95 eV per atom
* space group: P6_3/mmc

---

Density functional theory data (PBE) for ZrTl2Au after structural relaxation.

Lattice parameters (Å, degrees): 4.5202 4.5215 4.3627 90.00 90.00 90.00
Element x y z (fractional)
1 Tl 0.0000 0.0000 0.0000
2 Au 0.0000 0.5000 0.5000
3 Zr 0.5000 0.0000 0.5000
4 Tl 0.5000 0.5000 0.0000

Properties
* VASP energy: -4.22 eV per atom
* space group: P4/mmm

---

The highest VASP energy belongs to which entry? ZrTl2Au

---

Which value of VASP energy does entry 6 give? -4.22 eV per atom

---

VASP energy of number 3 (ZrTlAu)? -4.75 eV per atom

---

Which of these has the lowest VASP energy? Zr7Tl2Au2